No. 1
This record from the Alexandria database describes a PBEsol-optimized structure of ZnCdSiH2. The functional is meta-GGA SCAN.

abc: 3.659 3.659 5.006
angles: 90.00 90.00 90.00
Space group P4/mmm (No. 123)
Inequivalent atoms, fractional coordinates:
Zn 0.000 0.000 0.000
Cd 0.500 0.500 0.000
Si 0.000 0.000 0.500
H 0.000 0.500 0.500

Energy, eV/atom: -11.77
DOS at the Fermi energy, states/eV/cell: 1.47

---

No. 2
This record from the Alexandria database describes a PBEsol-optimized structure of Sr2CdH2. The functional is meta-GGA SCAN.

abc: 4.065 4.065 13.473
angles: 90.00 90.00 90.00
Space group I4/mmm (No. 139)
Inequivalent atoms, fractional coordinates:
Sr 0.000 0.000 0.151
Cd 0.000 0.000 0.500
H 0.000 0.500 0.250

Energy, eV/atom: -16.88
DOS at the Fermi energy, states/eV/cell: 3.93

---

No. 3
This record from the Alexandria database describes a PBEsol-optimized structure of Sr2Cd2H. The functional is meta-GGA SCAN.

abc: 6.447 6.447 7.264
angles: 90.00 90.00 90.00
Space group I4/mmm (No. 139)
Inequivalent atoms, fractional coordinates:
Sr 0.000 0.500 0.250
Cd 0.000 0.000 0.191
H 0.000 0.000 0.500

Energy, eV/atom: -21.58
DOS at the Fermi energy, states/eV/cell: 6.21

---

No. 4
This record from the Alexandria database describes a PBEsol-optimized structure of Ta3CdH. The functional is meta-GGA SCAN.

abc: 4.180 4.180 4.180
angles: 90.00 90.00 90.00
Space group Pm-3m (No. 221)
Inequivalent atoms, fractional coordinates:
Ta 0.000 0.000 0.500
Cd 0.500 0.500 0.500
H 0.000 0.000 0.000

Energy, eV/atom: -46.61
DOS at the Fermi energy, states/eV/cell: 4.27

---

No. 5
This record from the Alexandria database describes a PBEsol-optimized structure of Ta2CdH. The functional is meta-GGA SCAN.

abc: 8.063 8.063 8.063
angles: 90.00 90.00 90.00
Space group Fd-3m (No. 227, origin choice 2)
Inequivalent atoms, fractional coordinates:
Ta 0.000 0.000 0.000
Cd 0.125 0.125 0.625
H 0.125 0.125 0.125

Energy, eV/atom: -41.26
DOS at the Fermi energy, states/eV/cell: 16.98

---

No. 6
This record from the Alexandria database describes a PBEsol-optimized structure of CdTe2H. The functional is meta-GGA SCAN.

abc: 3.1677 3.1677 28.3864
angles: 90.00 90.00 120.00
Space group R-3m (No. 166, hexagonal axes)
Inequivalent atoms, fractional coordinates:
Cd 0.0000 0.0000 0.0000
Te 0.0000 0.0000 0.1069
H 0.0000 0.0000 0.5000

Energy, eV/atom: -26.58
DOS at the Fermi energy, states/eV/cell: 7.66

---

No. 7
This record from the Alexandria database describes a PBEsol-optimized structure of Ti3CdH. The functional is meta-GGA SCAN.

abc: 4.100 4.100 4.100
angles: 90.00 90.00 90.00
Space group Pm-3m (No. 221)
Inequivalent atoms, fractional coordinates:
Ti 0.000 0.000 0.500
Cd 0.500 0.500 0.500
H 0.000 0.000 0.000

Energy, eV/atom: -16.63
DOS at the Fermi energy, states/eV/cell: 2.59

---

No. 8
This record from the Alexandria database describes a PBEsol-optimized structure of Ti2CdH2. The functional is meta-GGA SCAN.

abc: 3.451 3.451 9.401
angles: 90.00 90.00 90.00
Space group I4/mmm (No. 139)
Inequivalent atoms, fractional coordinates:
Ti 0.000 0.000 0.166
Cd 0.000 0.000 0.500
H 0.000 0.500 0.250

Energy, eV/atom: -14.24
DOS at the Fermi energy, states/eV/cell: 5.34

---

No. 9
This record from the Alexandria database describes a PBEsol-optimized structure of Tl3CdH. The functional is meta-GGA SCAN.

abc: 4.829 4.829 4.829
angles: 90.00 90.00 90.00
Space group Pm-3m (No. 221)
Inequivalent atoms, fractional coordinates:
Tl 0.000 0.000 0.500
Cd 0.500 0.500 0.500
H 0.000 0.000 0.000

Energy, eV/atom: -49.92
DOS at the Fermi energy, states/eV/cell: 2.25

---

No. 10
This record from the Alexandria database describes a PBEsol-optimized structure of Cd3HW. The functional is meta-GGA SCAN.

abc: 4.244 4.244 4.244
angles: 90.00 90.00 90.00
Space group Pm-3m (No. 221)
Inequivalent atoms, fractional coordinates:
Cd 0.000 0.000 0.500
H 0.000 0.000 0.000
W 0.500 0.500 0.500

Energy, eV/atom: -32.00
DOS at the Fermi energy, states/eV/cell: 2.88

---

No. 11
This record from the Alexandria database describes a PBEsol-optimized structure of Hf2Cd. The functional is meta-GGA SCAN.

abc: 3.205 3.205 12.232
angles: 90.00 90.00 90.00
Space group I4/mmm (No. 139)
Inequivalent atoms, fractional coordinates:
Hf 0.000 0.000 0.168
Cd 0.000 0.000 0.500

Formation energy from the elements, eV per atom: -0.107
DOS at the Fermi energy, states/eV/cell: 5.14

---

No. 12
This record from the Alexandria database describes a PBEsol-optimized structure of LaHfCdHg2. The functional is meta-GGA SCAN.

abc: 5.507 5.507 5.588
angles: 90.00 90.00 90.00
Space group P4/mmm (No. 123)
Inequivalent atoms, fractional coordinates:
La 0.000 0.000 0.000
Hf 0.500 0.500 0.500
Cd 0.000 0.000 0.500
Hg 0.000 0.500 0.000

Formation energy from the elements, eV per atom: 1.257
DOS at the Fermi energy, states/eV/cell: 5.80

---

No. 13
This record from the Alexandria database describes a PBEsol-optimized structure of HfCdI2O. The functional is meta-GGA SCAN.

abc: 5.785 5.785 3.950
angles: 90.00 90.00 90.00
Space group P4/mmm (No. 123)
Inequivalent atoms, fractional coordinates:
Hf 0.000 0.000 0.000
Cd 0.500 0.500 0.500
I 0.000 0.500 0.000
O 0.000 0.000 0.500

Formation energy from raw total energies, meV per atom: -1146
DOS at the Fermi energy, states/eV/cell: 2.07

---

No. 14
This record from the Alexandria database describes a PBEsol-optimized structure of HfCd3Ir. The functional is meta-GGA SCAN.

abc: 4.978 4.978 4.978
angles: 90.00 90.00 90.00
Space group Pm-3m (No. 221)
Inequivalent atoms, fractional coordinates:
Hf 0.000 0.000 0.000
Cd 0.000 0.500 0.500
Ir 0.500 0.500 0.500

Formation energy from the elements, eV per atom: 0.919
DOS at the Fermi energy, states/eV/cell: 3.92

---

No. 15
This record from the Alexandria database describes a PBEsol-optimized structure of KHfCd3. The functional is meta-GGA SCAN.

abc: 5.576 5.576 5.576
angles: 90.00 90.00 90.00
Space group Pm-3m (No. 221)
Inequivalent atoms, fractional coordinates:
K 0.000 0.000 0.000
Hf 0.500 0.500 0.500
Cd 0.000 0.500 0.500

Formation energy from the elements, eV per atom: 0.519
DOS at the Fermi energy, states/eV/cell: 5.23

---

No. 16
This record from the Alexandria database describes a PBEsol-optimized structure of K2Hf2Cd. The functional is meta-GGA SCAN.

abc: 3.878 3.878 23.297
angles: 90.00 90.00 90.00
Space group I4/mmm (No. 139)
Inequivalent atoms, fractional coordinates:
K 0.000 0.000 0.106
Hf 0.000 0.500 0.250
Cd 0.000 0.000 0.500

Formation energy from the elements, eV per atom: 0.656
DOS at the Fermi energy, states/eV/cell: 5.84

---

No. 17
This record from the Alexandria database describes a PBEsol-optimized structure of KHf3Cd. The functional is meta-GGA SCAN.

abc: 4.830 4.830 4.830
angles: 90.00 90.00 90.00
Space group Pm-3m (No. 221)
Inequivalent atoms, fractional coordinates:
K 0.000 0.000 0.000
Hf 0.000 0.000 0.500
Cd 0.500 0.500 0.500

Formation energy from the elements, eV per atom: 2.110
DOS at the Fermi energy, states/eV/cell: 5.77

---

No. 18
This record from the Alexandria database describes a PBEsol-optimized structure of LaHf3Cd. The functional is meta-GGA SCAN.

abc: 5.217 5.217 5.217
angles: 90.00 90.00 90.00
Space group Pm-3m (No. 221)
Inequivalent atoms, fractional coordinates:
La 0.000 0.000 0.000
Hf 0.000 0.500 0.500
Cd 0.500 0.500 0.500

Formation energy from the elements, eV per atom: 0.968
DOS at the Fermi energy, states/eV/cell: 8.31

---

No. 19
This record from the Alexandria database describes a PBEsol-optimized structure of LaHfCd2Ni. The functional is meta-GGA SCAN.

abc: 5.363 5.363 4.518
angles: 90.00 90.00 90.00
Space group P4/mmm (No. 123)
Inequivalent atoms, fractional coordinates:
La 0.000 0.000 0.000
Hf 0.500 0.500 0.500
Cd 0.000 0.500 0.500
Ni 0.500 0.500 0.000

Formation energy from the elements, eV per atom: 0.350
DOS at the Fermi energy, states/eV/cell: 4.27

---

No. 20
This record from the Alexandria database describes a PBEsol-optimized structure of Li2HfTiCd. The functional is meta-GGA SCAN.

abc: 4.830 4.830 5.252
angles: 90.00 90.00 90.00
Space group P4/mmm (No. 123)
Inequivalent atoms, fractional coordinates:
Li 0.000 0.500 0.000
Hf 0.000 0.000 0.000
Ti 0.500 0.500 0.500
Cd 0.000 0.000 0.500

Formation energy from the elements, eV per atom: 1.363
DOS at the Fermi energy, states/eV/cell: 3.02